GGA-PBEsol CaTbMn2O6, optimized geometry; ΔE_f (raw) = -25.28 eV per formula unit; uncorrected energy = -8.344 eV per atom; total moment = 13.91 Bohr magnetons per cell
1.0
7.463 0.000 0.000
0.000 5.405 0.000
0.000 0.000 5.240
Ca Tb Mn O
2 2 4 12
direct
0.000 0.199 0.000
0.500 0.801 0.500
0.000 0.689 0.474
0.500 0.311 0.974
0.250 0.246 0.489
0.250 0.754 0.989
0.750 0.246 0.489
0.750 0.754 0.989
0.000 0.273 0.567
0.000 0.769 0.898
0.204 0.952 0.288
0.207 0.461 0.199
0.293 0.539 0.699
0.296 0.048 0.788
0.500 0.231 0.398
0.500 0.727 0.067
0.704 0.048 0.788
0.707 0.539 0.699
0.793 0.461 0.199
0.796 0.952 0.288